## KPr2CuS4 (PBE)

Data for KPr2CuS4 after structural relaxation.

a = 4.089 Å, b = 13.946 Å, c = 14.075 Å
α = 90.00°, β = 90.00°, γ = 90.00°
Space group Cmcm (No. 63)
Unique sites:
K 0.000 0.108 0.250 (multiplicity 4)
Pr 0.000 0.365 0.063 (multiplicity 8)
Cu 0.000 0.162 0.750 (multiplicity 4)
S 0.000 0.000 0.000 (multiplicity 4)
S 0.000 0.263 0.616 (multiplicity 8)
S 0.000 0.431 0.250 (multiplicity 4)

For the calculated volume, the calculation gives 25.1 Å³/atom. The total magnetization comes out at 0.001 μB per formula unit.

---

## KPrCuTe3 (PBE)

Data for KPrCuTe3 after structural relaxation.

a = 10.013 Å, b = 4.338 Å, c = 10.291 Å
α = 90.00°, β = 110.67°, γ = 90.00°
Space group P2_1/m (No. 11)
Unique sites:
K 0.215 0.250 0.243 (multiplicity 2)
Pr 0.317 0.750 0.854 (multiplicity 2)
Cu 0.086 0.250 0.596 (multiplicity 2)
Te 0.088 0.250 0.852 (multiplicity 2)
Te 0.195 0.750 0.520 (multiplicity 2)
Te 0.466 0.750 0.183 (multiplicity 2)

For the calculated volume, the calculation gives 34.8 Å³/atom. The total magnetization comes out at 0.024 μB per formula unit.

---

## KCuTe2PtS (PBE)

Data for KCuTe2PtS after structural relaxation.

a = 4.072 Å, b = 12.934 Å, c = 11.206 Å
α = 90.00°, β = 90.00°, γ = 90.00°
Space group Cmcm (No. 63)
Unique sites:
K 0.000 0.231 0.250 (multiplicity 4)
Cu 0.000 0.048 0.750 (multiplicity 4)
Te 0.000 0.133 0.535 (multiplicity 8)
Pt 0.000 0.500 0.000 (multiplicity 4)
S 0.000 0.475 0.750 (multiplicity 4)

For the calculated volume, the calculation gives 24.6 Å³/atom. The total magnetization comes out at 0.005 μB per formula unit.

---

## KCu3PtSe4 (PBE)

Data for KCu3PtSe4 after structural relaxation.

a = 6.133 Å, b = 6.133 Å, c = 6.133 Å
α = 90.00°, β = 90.00°, γ = 90.00°
Space group P-43m (No. 215)
Unique sites:
K 0.000 0.000 0.000 (multiplicity 1)
Cu 0.000 0.500 0.500 (multiplicity 3)
Pt 0.500 0.500 0.500 (multiplicity 1)
Se 0.273 0.273 0.273 (multiplicity 4)

For the calculated volume, the calculation gives 25.6 Å³/atom. The total magnetization comes out at 0.004 μB per formula unit.

---

## KCuPtSe3 (PBE)

Data for KCuPtSe3 after structural relaxation.

a = 10.446 Å, b = 3.853 Å, c = 14.082 Å
α = 90.00°, β = 90.00°, γ = 90.00°
Space group Pnma (No. 62)
Unique sites:
K 0.245 0.250 0.005 (multiplicity 4)
Cu 0.236 0.250 0.302 (multiplicity 4)
Pt 0.011 0.250 0.744 (multiplicity 4)
Se 0.025 0.250 0.372 (multiplicity 4)
Se 0.045 0.750 0.860 (multiplicity 4)
Se 0.242 0.750 0.199 (multiplicity 4)

For the calculated volume, the calculation gives 23.6 Å³/atom. The total magnetization comes out at 0.012 μB per formula unit.

---

## KCuPtSe3 (PBE)

Data for KCuPtSe3 after structural relaxation.

a = 3.848 Å, b = 14.182 Å, c = 10.337 Å
α = 90.00°, β = 90.00°, γ = 90.00°
Space group Cmcm (No. 63)
Unique sites:
K 0.000 0.250 0.250 (multiplicity 4)
Cu 0.000 0.048 0.750 (multiplicity 4)
Pt 0.000 0.500 0.000 (multiplicity 4)
Se 0.000 0.115 0.535 (multiplicity 8)
Se 0.000 0.445 0.750 (multiplicity 4)

For the calculated volume, the calculation gives 23.5 Å³/atom. The total magnetization comes out at 0.011 μB per formula unit.

---

## KCuTePtSe2 (PBE)

Data for KCuTePtSe2 after structural relaxation.

a = 3.866 Å, b = 14.946 Å, c = 10.708 Å
α = 90.00°, β = 90.00°, γ = 90.00°
Space group Cmcm (No. 63)
Unique sites:
K 0.000 0.238 0.250 (multiplicity 4)
Cu 0.000 0.447 0.750 (multiplicity 4)
Te 0.000 0.063 0.750 (multiplicity 4)
Pt 0.000 0.000 0.000 (multiplicity 4)
Se 0.000 0.391 0.539 (multiplicity 8)

For the calculated volume, the calculation gives 25.8 Å³/atom. The total magnetization comes out at 0.000 μB per formula unit.

---

## KCuTe2PtSe (PBE)

Data for KCuTe2PtSe after structural relaxation.

a = 4.065 Å, b = 14.078 Å, c = 10.936 Å
α = 90.00°, β = 90.00°, γ = 90.00°
Space group Cmcm (No. 63)
Unique sites:
K 0.000 0.244 0.250 (multiplicity 4)
Cu 0.000 0.049 0.750 (multiplicity 4)
Te 0.000 0.123 0.532 (multiplicity 8)
Pt 0.000 0.500 0.000 (multiplicity 4)
Se 0.000 0.457 0.750 (multiplicity 4)

For the calculated volume, the calculation gives 26.1 Å³/atom. The total magnetization comes out at 0.006 μB per formula unit.

---

## KCuTePt (PBE)

Data for KCuTePt after structural relaxation.

a = 6.948 Å, b = 6.948 Å, c = 6.948 Å
α = 90.00°, β = 90.00°, γ = 90.00°
Space group F-43m (No. 216)
Unique sites:
K 0.000 0.000 0.000 (multiplicity 4)
Cu 0.250 0.250 0.750 (multiplicity 4)
Te 0.000 0.000 0.500 (multiplicity 4)
Pt 0.250 0.250 0.250 (multiplicity 4)

For the calculated volume, the calculation gives 21.0 Å³/atom. The total magnetization comes out at 0.001 μB per formula unit.

---

## KCuTe3Pt (PBE)

Data for KCuTe3Pt after structural relaxation.

a = 4.069 Å, b = 14.940 Å, c = 11.118 Å
α = 90.00°, β = 90.00°, γ = 90.00°
Space group Cmcm (No. 63)
Unique sites:
K 0.000 0.245 0.250 (multiplicity 4)
Cu 0.000 0.446 0.750 (multiplicity 4)
Te 0.000 0.053 0.750 (multiplicity 4)
Te 0.000 0.382 0.532 (multiplicity 8)
Pt 0.000 0.000 0.000 (multiplicity 4)

For the calculated volume, the calculation gives 28.2 Å³/atom. The total magnetization comes out at 0.004 μB per formula unit.

---

## KCu3Te4Pt (PBE)

Data for KCu3Te4Pt after structural relaxation.

a = 6.517 Å, b = 6.517 Å, c = 6.517 Å
α = 90.00°, β = 90.00°, γ = 90.00°
Space group P-43m (No. 215)
Unique sites:
K 0.000 0.000 0.000 (multiplicity 1)
Cu 0.000 0.500 0.500 (multiplicity 3)
Te 0.274 0.274 0.274 (multiplicity 4)
Pt 0.500 0.500 0.500 (multiplicity 1)

For the calculated volume, the calculation gives 30.8 Å³/atom. The total magnetization comes out at 0.002 μB per formula unit.

---

## KCuTePt (PBE)

Data for KCuTePt after structural relaxation.

a = 7.008 Å, b = 7.008 Å, c = 7.008 Å
α = 90.00°, β = 90.00°, γ = 90.00°
Space group F-43m (No. 216)
Unique sites:
K 0.000 0.000 0.000 (multiplicity 4)
Cu 0.000 0.000 0.500 (multiplicity 4)
Te 0.250 0.250 0.250 (multiplicity 4)
Pt 0.250 0.250 0.750 (multiplicity 4)

For the calculated volume, the calculation gives 21.5 Å³/atom. The total magnetization comes out at 0.001 μB per formula unit.

---

## KCuTePt (PBE)

Data for KCuTePt after structural relaxation.

a = 6.920 Å, b = 6.920 Å, c = 6.920 Å
α = 90.00°, β = 90.00°, γ = 90.00°
Space group F-43m (No. 216)
Unique sites:
K 0.000 0.000 0.000 (multiplicity 4)
Cu 0.250 0.250 0.250 (multiplicity 4)
Te 0.250 0.250 0.750 (multiplicity 4)
Pt 0.000 0.000 0.500 (multiplicity 4)

For the calculated volume, the calculation gives 20.7 Å³/atom. The total magnetization comes out at 0.000 μB per formula unit.

---

## KPuCu (PBE)

Data for KPuCu after structural relaxation.

a = 7.181 Å, b = 7.181 Å, c = 7.181 Å
α = 90.00°, β = 90.00°, γ = 90.00°
Space group F-43m (No. 216)
Unique sites:
K 0.000 0.000 0.000 (multiplicity 4)
Pu 0.000 0.000 0.500 (multiplicity 4)
Cu 0.250 0.250 0.250 (multiplicity 4)

For the calculated volume, the calculation gives 30.9 Å³/atom. The total magnetization comes out at 6.058 μB per formula unit.

---

## KRbCu (PBE)

Data for KRbCu after structural relaxation.

a = 8.408 Å, b = 8.408 Å, c = 8.408 Å
α = 90.00°, β = 90.00°, γ = 90.00°
Space group F-43m (No. 216)
Unique sites:
K 0.000 0.000 0.000 (multiplicity 4)
Rb 0.000 0.000 0.500 (multiplicity 4)
Cu 0.250 0.250 0.250 (multiplicity 4)

For the calculated volume, the calculation gives 49.5 Å³/atom.

---

## K4RbCuSb2 (PBE)

Data for K4RbCuSb2 after structural relaxation.

a = 6.0170 Å, b = 6.0170 Å, c = 28.5096 Å
α = 90.00°, β = 90.00°, γ = 120.00°
Space group R-3m (No. 166, hexagonal axes)
Unique sites:
K 0.0000 0.0000 0.1354 (multiplicity 6)
K 0.0000 0.0000 0.2831 (multiplicity 6)
Rb 0.0000 0.0000 0.0000 (multiplicity 3)
Cu 0.0000 0.0000 0.5000 (multiplicity 3)
Sb 0.0000 0.0000 0.4119 (multiplicity 6)

For the calculated volume, the calculation gives 37.2 Å³/atom.

---

## KRb4CuSb2 (PBE)

Data for KRb4CuSb2 after structural relaxation.

a = 6.2196 Å, b = 6.2196 Å, c = 28.9218 Å
α = 90.00°, β = 90.00°, γ = 120.00°
Space group R-3m (No. 166, hexagonal axes)
Unique sites:
K 0.0000 0.0000 0.0000 (multiplicity 3)
Rb 0.0000 0.0000 0.1358 (multiplicity 6)
Rb 0.0000 0.0000 0.2835 (multiplicity 6)
Cu 0.0000 0.0000 0.5000 (multiplicity 3)
Sb 0.0000 0.0000 0.4126 (multiplicity 6)

For the calculated volume, the calculation gives 40.4 Å³/atom.

---

## KRb3Cu2Sb2 (PBE)

Data for KRb3Cu2Sb2 after structural relaxation.

a = 6.715 Å, b = 6.484 Å, c = 6.866 Å
α = 90.00°, β = 107.54°, γ = 90.00°
Space group Pm (No. 6)
Unique sites:
K 0.000 0.000 0.000 (multiplicity 1)
Rb 0.354 0.500 0.016 (multiplicity 1)
Rb 0.662 0.000 0.333 (multiplicity 1)
Rb 0.694 0.500 0.682 (multiplicity 1)
Cu 0.178 0.250 0.503 (multiplicity 2)
Sb 0.411 0.000 0.752 (multiplicity 1)
Sb 0.939 0.500 0.261 (multiplicity 1)

For the calculated volume, the calculation gives 35.6 Å³/atom.

---

## KCu3ReS4 (PBE)

Data for KCu3ReS4 after structural relaxation.

a = 5.869 Å, b = 5.869 Å, c = 5.869 Å
α = 90.00°, β = 90.00°, γ = 90.00°
Space group P-43m (No. 215)
Unique sites:
K 0.000 0.000 0.000 (multiplicity 1)
Cu 0.000 0.500 0.500 (multiplicity 3)
Re 0.500 0.500 0.500 (multiplicity 1)
S 0.278 0.278 0.278 (multiplicity 4)

For the calculated volume, the calculation gives 22.5 Å³/atom. The total magnetization comes out at 1.168 μB per formula unit.

---

## K2CuReS4 (PBE)

Data for K2CuReS4 after structural relaxation.

a = 5.578 Å, b = 13.121 Å, c = 22.843 Å
α = 90.00°, β = 90.00°, γ = 90.00°
Space group Fddd (No. 70, origin choice 2)
Unique sites:
K 0.125 0.125 0.304 (multiplicity 16)
Cu 0.125 0.125 0.625 (multiplicity 8)
Re 0.125 0.125 0.125 (multiplicity 8)
S 0.111 0.275 0.431 (multiplicity 32)

For the calculated volume, the calculation gives 26.1 Å³/atom. The total magnetization comes out at 1.999 μB per formula unit.

---

## KCuReSe2S (PBE)

Data for KCuReSe2S after structural relaxation.

a = 3.750 Å, b = 14.791 Å, c = 9.527 Å
α = 90.00°, β = 90.00°, γ = 90.00°
Space group Cmcm (No. 63)
Unique sites:
K 0.000 0.245 0.250 (multiplicity 4)
Cu 0.000 0.030 0.750 (multiplicity 4)
Re 0.000 0.500 0.000 (multiplicity 4)
Se 0.000 0.118 0.540 (multiplicity 8)
S 0.000 0.440 0.750 (multiplicity 4)

For the calculated volume, the calculation gives 22.0 Å³/atom. The total magnetization comes out at 2.308 μB per formula unit.

---

## KCuReSeS2 (PBE)

Data for KCuReSeS2 after structural relaxation.

a = 3.634 Å, b = 14.786 Å, c = 9.572 Å
α = 90.00°, β = 90.00°, γ = 90.00°
Space group Cmcm (No. 63)
Unique sites:
K 0.000 0.236 0.250 (multiplicity 4)
Cu 0.000 0.466 0.750 (multiplicity 4)
Re 0.000 0.000 0.000 (multiplicity 4)
Se 0.000 0.076 0.750 (multiplicity 4)
S 0.000 0.392 0.546 (multiplicity 8)

For the calculated volume, the calculation gives 21.4 Å³/atom. The total magnetization comes out at 2.017 μB per formula unit.

---

Number 1: E_tot -5.484 eV per atom. Number 2: E_tot -4.076 eV per atom. Number 3: E_tot -3.937 eV per atom. Number 4: E_tot -3.668 eV per atom. Number 5: E_tot -4.025 eV per atom. Number 6: E_tot -4.025 eV per atom. Number 7: E_tot -3.932 eV per atom. Number 8: E_tot -3.848 eV per atom. Number 9: E_tot -3.281 eV per atom. Number 10: E_tot -3.777 eV per atom. Number 11: E_tot -3.437 eV per atom. Number 12: E_tot -3.119 eV per atom. Number 13: E_tot -3.302 eV per atom. Number 14: E_tot -5.597 eV per atom. Number 15: E_tot -1.570 eV per atom. Number 16: E_tot -2.534 eV per atom. Number 17: E_tot -2.442 eV per atom. Number 18: E_tot -2.756 eV per atom. Number 19: E_tot -4.744 eV per atom. Number 20: E_tot -5.006 eV per atom. Number 21: E_tot -5.050 eV per atom. Number 22: E_tot -5.205 eV per atom.